Entry 1:
BaY: relaxed, PBE-GGA.

Formation energy from the elements ... 987 meV/atom
Crystal system ... cubic

Lattice parameters (Å, degrees): 11.2728 11.2728 11.2727 90.00 90.00 90.00
Closest atoms and distances in Å follow each position.
Fractional positions:
1 Y 0.4002 0.4002 0.5998  3 Y 3.18
2 Y 0.9002 0.0998 0.9002  3 Y 3.18
3 Y 0.4002 0.5998 0.4002  3 Y 3.18
4 Y 0.0998 0.0998 0.0998  3 Y 3.18
5 Y 0.5998 0.5998 0.5998  3 Y 3.18
6 Y 0.0998 0.9002 0.9002  3 Y 3.18
7 Y 0.5998 0.4002 0.4002  3 Y 3.18
8 Y 0.9002 0.9002 0.0998  3 Y 3.18
9 Ba 0.7925 0.7925 0.7925  4 Y 3.76-3.87
10 Ba 0.7925 0.2075 0.2075  4 Y 3.76-3.87
11 Ba 0.7075 0.7075 0.2925  4 Y 3.76-3.87
12 Ba 0.2075 0.7925 0.2075  4 Y 3.76-3.87
13 Ba 0.7075 0.2925 0.7075  4 Y 3.76-3.87
14 Ba 0.2925 0.7075 0.7075  4 Y 3.76-3.87
15 Ba 0.2925 0.2925 0.2925  4 Y 3.76-3.87
16 Ba 0.2075 0.2075 0.7925  4 Y 3.76-3.87

---

Entry 2:
Tm2TlPb: relaxed, PBE-GGA.

Formation energy from the elements ... -324 meV/atom
Crystal system ... tetragonal

Lattice parameters (Å, degrees): 3.5284 3.5284 8.6678 90.00 90.00 90.00
Closest atoms and distances in Å follow each position.
Fractional positions:
1 Tm 0.0000 0.0000 0.7566  4 Tl 3.27, 4 Pb 3.34, 4 Tm 3.53
2 Tm 0.0000 0.0000 0.2434  4 Tl 3.27, 4 Pb 3.34, 4 Tm 3.53
3 Pb 0.5000 0.5000 0.5000  8 Tm 3.34, 4 Pb 3.53
4 Tl 0.5000 0.5000 0.0000  8 Tm 3.27, 4 Tl 3.53

---

Entry 3:
CaMnTl: relaxed, PBE-GGA.

Formation energy from the elements ... 308 meV/atom
Crystal system ... cubic

Lattice parameters (Å, degrees): 4.8591 4.8591 4.8591 60.00 60.00 60.00
Closest atoms and distances in Å follow each position.
Fractional positions:
1 Tl 0.0000 0.0000 0.0000  4 Mn 2.98
2 Ca 0.5000 0.5000 0.5000  4 Mn 2.98
3 Mn 0.2500 0.2500 0.2500  4 Tl 2.98, 4 Ca 2.98

---

Entry 4:
CaEuHfNbO6: relaxed, PBE-GGA.

ΔE_f (raw) ... -29.50 eV per formula unit
Crystal system ... cubic

Lattice parameters (Å, degrees): 5.7861 5.7861 5.7861 60.00 60.00 60.00
Closest atoms and distances in Å follow each position.
Fractional positions:
1 O 0.2516 0.7484 0.7484  1 Nb 2.03, 1 Hf 2.06
2 O 0.2516 0.7484 0.2516  1 Nb 2.03, 1 Hf 2.06
3 O 0.7484 0.2516 0.7484  1 Nb 2.03, 1 Hf 2.06
4 O 0.7484 0.2516 0.2516  1 Nb 2.03, 1 Hf 2.06
5 O 0.7484 0.7484 0.2516  1 Nb 2.03, 1 Hf 2.06
6 O 0.2516 0.2516 0.7484  1 Nb 2.03, 1 Hf 2.06
7 Nb 0.5000 0.5000 0.5000  6 O 2.03
8 Eu 0.7500 0.7500 0.7500  12 O 2.89
9 Ca 0.2500 0.2500 0.2500  12 O 2.89
10 Hf 0.0000 0.0000 0.0000  6 O 2.06

---

Entry 5:
SmY2Cd: relaxed, PBE-GGA.

Formation energy from the elements ... -98 meV/atom
Crystal system ... tetragonal

Lattice parameters (Å, degrees): 4.8735 4.9019 4.9019 90.00 90.00 90.00
Closest atoms and distances in Å follow each position.
Fractional positions:
1 Y 0.0000 0.0000 0.5000  4 Cd 3.46, 4 Sm 3.46, 4 Y 3.47
2 Y 0.0000 0.5000 0.0000  4 Cd 3.46, 4 Sm 3.46, 4 Y 3.47
3 Sm 0.5000 0.0000 0.0000  8 Y 3.46, 4 Cd 3.47
4 Cd 0.5000 0.5000 0.5000  8 Y 3.46, 4 Sm 3.47

---

Entry 6:
Tm2H5Rh2: relaxed, PBE-GGA.

Crystal system ... triclinic

Lattice parameters (Å, degrees): 5.0712 5.0034 8.1028 107.99 108.22 90.03
Closest atoms and distances in Å follow each position.
Fractional positions:
1 H 0.0000 0.5095 0.5000  2 Rh 1.91
2 H 0.7512 0.2608 0.0022  2 Rh 1.78
3 H 0.6100 0.6348 0.2523  2 Rh 1.80-1.84
4 H 0.2493 0.2589 0.9985  2 Rh 1.78
5 H 0.1420 0.1355 0.2526  2 Rh 1.81-1.84
6 H 0.2487 0.7583 0.9978  2 Rh 1.78
7 H 0.7506 0.7603 0.0015  2 Rh 1.78
8 H 0.3900 0.3843 0.7477  2 Rh 1.80-1.84
9 H 0.8580 0.8837 0.7474  2 Rh 1.81-1.84
10 H 0.0001 0.0095 0.5000  2 Rh 1.91
11 Tm 0.8693 0.3792 0.7386  10 H 2.45-2.62
12 Tm 0.3698 0.8789 0.7384  10 H 2.45-2.62
13 Tm 0.1307 0.6399 0.2614  10 H 2.45-2.62
14 Tm 0.6303 0.1402 0.2616  10 H 2.45-2.62
15 Rh 0.7153 0.7605 0.4997  4 H 1.80-1.91
16 Rh 0.2848 0.2586 0.5003  4 H 1.80-1.91
17 Rh 0.5000 0.5096 0.0000  6 H 1.78-1.84
18 Rh 0.0000 0.0096 0.0000  6 H 1.78-1.84

---

Entry 7:
CdAg2GeB: relaxed, PBE-GGA.

Formation energy from the elements ... 560 meV/atom
Crystal system ... tetragonal

Lattice parameters (Å, degrees): 4.4827 4.5107 4.4827 90.00 90.00 90.00
Closest atoms and distances in Å follow each position.
Fractional positions:
1 B 0.0000 0.0000 0.0000  4 Ag 2.24, 2 Cd 2.26
2 Ge 0.5000 0.5000 0.5000  4 Cd 3.17, 8 Ag 3.18
3 Cd 0.0000 0.5000 0.0000  2 B 2.26
4 Ag 0.5000 0.0000 0.0000  2 B 2.24
5 Ag 0.0000 0.0000 0.5000  2 B 2.24

---

Entry 8:
LiCd2Hg4Pb: relaxed, PBE-GGA.

Formation energy from the elements ... -71 meV/atom
Crystal system ... trigonal

Lattice parameters (Å, degrees): 5.0585 5.0585 9.1374 73.93 73.93 60.00
Closest atoms and distances in Å follow each position.
Fractional positions:
1 Cd 0.2511 0.2511 0.2468  7 Hg 3.01-3.21
2 Cd 0.7489 0.7489 0.7532  7 Hg 3.01-3.21
3 Hg 0.6129 0.6129 0.1614  1 Li 2.93, 3 Cd 3.01, 3 Pb 3.24
4 Hg 0.8662 0.8662 0.4013  3 Li 3.04, 4 Cd 3.05-3.21, 3 Hg 3.38
5 Hg 0.1338 0.1338 0.5987  3 Li 3.04, 4 Cd 3.05-3.21, 3 Hg 3.38
6 Hg 0.3871 0.3871 0.8386  1 Li 2.93, 3 Cd 3.01, 3 Pb 3.24
7 Pb 0.0000 0.0000 0.0000  8 Hg 3.24-3.47, 6 Cd 3.62
8 Li 0.5000 0.5000 0.5000  8 Hg 2.93-3.04

---

Entry 9:
Pr4Te3I4: relaxed, PBE-GGA.

ΔE_f (raw) ... -14.46 eV per formula unit
Crystal system ... orthorhombic

Lattice parameters (Å, degrees): 4.0721 9.4416 10.9510 115.54 100.72 90.00
Closest atoms and distances in Å follow each position.
Fractional positions:
1 Te 0.0910 0.0910 0.1819  6 Pr 3.35-3.43, 1 Te 3.52
2 Te 0.9090 0.9090 0.8181  6 Pr 3.35-3.43, 1 Te 3.52
3 Te 0.0000 0.5000 0.0000  4 Pr 3.30
4 Pr 0.7287 0.2287 0.4573  6 I 3.18-3.34, 2 Te 3.35
5 Pr 0.5000 0.7747 0.0000  6 Te 3.30-3.43, 2 I 3.38
6 Pr 0.5000 0.2253 0.0000  6 Te 3.30-3.43, 2 I 3.38
7 Pr 0.2713 0.7713 0.5427  6 I 3.18-3.34, 2 Te 3.35
8 I 0.3307 0.5167 0.6614  4 Pr 3.18-3.38, 1 I 3.51
9 I 0.6693 0.4833 0.3386  4 Pr 3.18-3.38, 1 I 3.51
10 I 0.3307 0.1447 0.6614  4 Pr 3.18-3.38, 1 I 3.51
11 I 0.6693 0.8553 0.3386  4 Pr 3.18-3.38, 1 I 3.51

---

Entry 10:
Cu6Te7: relaxed, PBE-GGA.

ΔE_f (raw) ... 6.96 eV per formula unit
Crystal system ... trigonal

Lattice parameters (Å, degrees): 9.0098 9.0098 9.0098 45.89 45.89 45.89
Closest atoms and distances in Å follow each position.
Fractional positions:
1 Te 0.0636 0.5817 0.5817  3 Cu 2.67-2.75
2 Te 0.5817 0.0636 0.5817  3 Cu 2.67-2.75
3 Te 0.5000 0.5000 0.5000  6 Te 3.04
4 Te 0.4183 0.4183 0.9364  3 Cu 2.67-2.75
5 Te 0.9364 0.4183 0.4183  3 Cu 2.67-2.75
6 Te 0.5817 0.5817 0.0636  3 Cu 2.67-2.75
7 Te 0.4183 0.9364 0.4183  3 Cu 2.67-2.75
8 Cu 0.0829 0.0829 0.0829  1 Cu 2.39
9 Cu 0.6622 0.6622 0.6622  6 Te 2.72-2.75
10 Cu 0.3378 0.3378 0.3378  6 Te 2.72-2.75
11 Cu 0.1821 0.1821 0.1821  1 Cu 2.39, 3 Te 2.67
12 Cu 0.9171 0.9171 0.9171  1 Cu 2.39
13 Cu 0.8179 0.8179 0.8179  1 Cu 2.39, 3 Te 2.67

---

Number 1: total moment 0.00 μB per formula unit, calculated total energy -3.206 eV per atom. Number 2: total moment 0.00 μB per formula unit, calculated total energy -4.079 eV per atom. Number 3: total moment 3.97 μB per formula unit, calculated total energy -4.205 eV per atom. Number 4: total moment 6.92 μB per formula unit, calculated total energy -9.154 eV per atom. Number 5: total moment 0.56 μB per formula unit, calculated total energy -4.738 eV per atom. Number 6: total moment 0.00 μB per formula unit, calculated total energy -5.091 eV per atom. Number 7: total moment 0.00 μB per formula unit, calculated total energy -3.022 eV per atom. Number 8: total moment 0.00 μB per formula unit, calculated total energy -1.154 eV per atom. Number 9: total moment 0.00 μB per formula unit, calculated total energy -4.473 eV per atom. Number 10: total moment 0.00 μB per formula unit, calculated total energy -3.047 eV per atom.